Version i
The following is a PBE calculation of an optimized crystal structure of LiScZnB, from OQMD via LeMat-Bulk.

abc: 5.848 5.848 5.848
angles: 90.00 90.00 90.00
Sites, in units of the cell vectors:
Li (0.000, 0.000, 0.000)
Li (0.000, 0.500, 0.500)
Li (0.500, 0.000, 0.500)
Li (0.500, 0.500, 0.000)
Sc (0.250, 0.250, 0.750)
Sc (0.250, 0.750, 0.250)
Sc (0.750, 0.250, 0.250)
Sc (0.750, 0.750, 0.750)
Zn (0.250, 0.250, 0.250)
Zn (0.250, 0.750, 0.750)
Zn (0.750, 0.250, 0.750)
Zn (0.750, 0.750, 0.250)
B (0.000, 0.000, 0.500)
B (0.000, 0.500, 0.000)
B (0.500, 0.000, 0.000)
B (0.500, 0.500, 0.500)

Values from the calculation:
- V (Å³ per cell) = 200.0
- crystal system = cubic
- magnetic moment (μB per cell) = 0.002

=====

Version ii
The following is a PBE calculation of an optimized crystal structure of LiScZnB, from OQMD via LeMat-Bulk.

abc: 6.010 6.010 6.010
angles: 90.00 90.00 90.00
Sites, in units of the cell vectors:
Li (0.000, 0.000, 0.000)
Li (0.000, 0.500, 0.500)
Li (0.500, 0.000, 0.500)
Li (0.500, 0.500, 0.000)
Sc (0.000, 0.000, 0.500)
Sc (0.000, 0.500, 0.000)
Sc (0.500, 0.000, 0.000)
Sc (0.500, 0.500, 0.500)
Zn (0.250, 0.250, 0.750)
Zn (0.250, 0.750, 0.250)
Zn (0.750, 0.250, 0.250)
Zn (0.750, 0.750, 0.750)
B (0.250, 0.250, 0.250)
B (0.250, 0.750, 0.750)
B (0.750, 0.250, 0.750)
B (0.750, 0.750, 0.250)

Values from the calculation:
- V (Å³ per cell) = 217.1
- crystal system = cubic
- magnetic moment (μB per cell) = 0.002

=====

Version iii
The following is a PBE calculation of an optimized crystal structure of LiScZnB, from OQMD via LeMat-Bulk.

abc: 5.883 5.883 5.883
angles: 90.00 90.00 90.00
Sites, in units of the cell vectors:
Li (0.000, 0.000, 0.000)
Li (0.000, 0.500, 0.500)
Li (0.500, 0.000, 0.500)
Li (0.500, 0.500, 0.000)
Sc (0.250, 0.250, 0.250)
Sc (0.250, 0.750, 0.750)
Sc (0.750, 0.250, 0.750)
Sc (0.750, 0.750, 0.250)
Zn (0.000, 0.000, 0.500)
Zn (0.000, 0.500, 0.000)
Zn (0.500, 0.000, 0.000)
Zn (0.500, 0.500, 0.500)
B (0.250, 0.250, 0.750)
B (0.250, 0.750, 0.250)
B (0.750, 0.250, 0.250)
B (0.750, 0.750, 0.750)

Values from the calculation:
- V (Å³ per cell) = 203.6
- crystal system = cubic
- magnetic moment (μB per cell) = 0.000

=====

Which of them is most stable, and which least? Most stable: version i; least stable: version iii.

=====

Version i
The following is a PBE calculation of an optimized crystal structure of LiSmB, from OQMD via LeMat-Bulk.

abc: 6.117 6.117 6.117
angles: 90.00 90.00 90.00
Sites, in units of the cell vectors:
Li (0.000, 0.000, 0.000)
Li (0.000, 0.500, 0.500)
Li (0.500, 0.000, 0.500)
Li (0.500, 0.500, 0.000)
Sm (0.250, 0.250, 0.750)
Sm (0.250, 0.750, 0.250)
Sm (0.750, 0.250, 0.250)
Sm (0.750, 0.750, 0.750)
B (0.000, 0.000, 0.500)
B (0.000, 0.500, 0.000)
B (0.500, 0.000, 0.000)
B (0.500, 0.500, 0.500)

Values from the calculation:
- V (Å³ per cell) = 228.8
- crystal system = cubic
- magnetic moment (μB per cell) = 0.030

=====

Version ii
The following is a PBE calculation of an optimized crystal structure of LiSmB, from OQMD via LeMat-Bulk.

abc: 5.904 5.904 5.904
angles: 90.00 90.00 90.00
Sites, in units of the cell vectors:
Li (0.000, 0.000, 0.000)
Li (0.000, 0.500, 0.500)
Li (0.500, 0.000, 0.500)
Li (0.500, 0.500, 0.000)
Sm (0.250, 0.250, 0.250)
Sm (0.250, 0.750, 0.750)
Sm (0.750, 0.250, 0.750)
Sm (0.750, 0.750, 0.250)
B (0.250, 0.250, 0.750)
B (0.250, 0.750, 0.250)
B (0.750, 0.250, 0.250)
B (0.750, 0.750, 0.750)

Values from the calculation:
- V (Å³ per cell) = 205.8
- crystal system = cubic
- magnetic moment (μB per cell) = 0.006

=====

Which of them is most stable, and which least? Most stable: version ii; least stable: version i.

=====

Version i
The following is a PBE calculation of an optimized crystal structure of LiTbB, from OQMD via LeMat-Bulk.

abc: 5.802 5.802 5.802
angles: 90.00 90.00 90.00
Sites, in units of the cell vectors:
Li (0.000, 0.000, 0.000)
Li (0.000, 0.500, 0.500)
Li (0.500, 0.000, 0.500)
Li (0.500, 0.500, 0.000)
Tb (0.250, 0.250, 0.250)
Tb (0.250, 0.750, 0.750)
Tb (0.750, 0.250, 0.750)
Tb (0.750, 0.750, 0.250)
B (0.250, 0.250, 0.750)
B (0.250, 0.750, 0.250)
B (0.750, 0.250, 0.250)
B (0.750, 0.750, 0.750)

Values from the calculation:
- V (Å³ per cell) = 195.4
- crystal system = cubic
- magnetic moment (μB per cell) = 0.001

=====

Version ii
The following is a PBE calculation of an optimized crystal structure of LiTbB, from OQMD via LeMat-Bulk.

abc: 5.969 5.969 5.969
angles: 90.00 90.00 90.00
Sites, in units of the cell vectors:
Li (0.000, 0.000, 0.000)
Li (0.000, 0.500, 0.500)
Li (0.500, 0.000, 0.500)
Li (0.500, 0.500, 0.000)
Tb (0.000, 0.000, 0.500)
Tb (0.000, 0.500, 0.000)
Tb (0.500, 0.000, 0.000)
Tb (0.500, 0.500, 0.500)
B (0.250, 0.250, 0.250)
B (0.250, 0.750, 0.750)
B (0.750, 0.250, 0.750)
B (0.750, 0.750, 0.250)

Values from the calculation:
- V (Å³ per cell) = 212.7
- crystal system = cubic
- magnetic moment (μB per cell) = 0.054

=====

Which of them is most stable, and which least? Most stable: version ii; least stable: version i.

=====

Version i
The following is a PBE calculation of an optimized crystal structure of LiTcB4, from OQMD via LeMat-Bulk.

abc: 2.980 5.237 6.272
angles: 90.00 90.00 90.00
Sites, in units of the cell vectors:
Li (0.000, 0.000, 0.000)
Li (0.500, 0.500, 0.500)
Tc (0.000, 0.000, 0.500)
Tc (0.500, 0.500, 0.000)
B (0.000, 0.341, 0.256)
B (0.000, 0.341, 0.744)
B (0.000, 0.659, 0.256)
B (0.000, 0.659, 0.744)
B (0.500, 0.159, 0.244)
B (0.500, 0.159, 0.756)
B (0.500, 0.841, 0.244)
B (0.500, 0.841, 0.756)

Values from the calculation:
- V (Å³ per cell) = 97.9
- crystal system = orthorhombic
- magnetic moment (μB per cell) = 0.001

=====

Version ii
The following is a PBE calculation of an optimized crystal structure of LiTcB4, from OQMD via LeMat-Bulk.

abc: 2.947 2.947 7.012
angles: 90.00 90.00 120.00
Sites, in units of the cell vectors:
Li (0.000, 0.000, 0.000)
Tc (0.000, 0.000, 0.500)
B (0.333, 0.667, 0.258)
B (0.333, 0.667, 0.742)
B (0.667, 0.333, 0.258)
B (0.667, 0.333, 0.742)

Values from the calculation:
- V (Å³ per cell) = 52.7
- crystal system = hexagonal
- magnetic moment (μB per cell) = 0.000

=====

Which of them is most stable, and which least? Most stable: version i; least stable: version ii.

=====

Version i
The following is a PBE calculation of an optimized crystal structure of LiThB, from OQMD via LeMat-Bulk.

abc: 6.138 6.138 6.138
angles: 90.00 90.00 90.00
Sites, in units of the cell vectors:
Li (0.000, 0.000, 0.000)
Li (0.000, 0.500, 0.500)
Li (0.500, 0.000, 0.500)
Li (0.500, 0.500, 0.000)
Th (0.000, 0.000, 0.500)
Th (0.000, 0.500, 0.000)
Th (0.500, 0.000, 0.000)
Th (0.500, 0.500, 0.500)
B (0.250, 0.250, 0.250)
B (0.250, 0.750, 0.750)
B (0.750, 0.250, 0.750)
B (0.750, 0.750, 0.250)

Values from the calculation:
- V (Å³ per cell) = 231.3
- crystal system = cubic
- magnetic moment (μB per cell) = 0.006

=====

Version ii
The following is a PBE calculation of an optimized crystal structure of LiThB, from OQMD via LeMat-Bulk.

abc: 6.202 6.202 6.202
angles: 90.00 90.00 90.00
Sites, in units of the cell vectors:
Li (0.000, 0.000, 0.000)
Li (0.000, 0.500, 0.500)
Li (0.500, 0.000, 0.500)
Li (0.500, 0.500, 0.000)
Th (0.250, 0.250, 0.750)
Th (0.250, 0.750, 0.250)
Th (0.750, 0.250, 0.250)
Th (0.750, 0.750, 0.750)
B (0.000, 0.000, 0.500)
B (0.000, 0.500, 0.000)
B (0.500, 0.000, 0.000)
B (0.500, 0.500, 0.500)

Values from the calculation:
- V (Å³ per cell) = 238.6
- crystal system = cubic
- magnetic moment (μB per cell) = 0.004

=====

Version iii
The following is a PBE calculation of an optimized crystal structure of LiThB, from OQMD via LeMat-Bulk.

abc: 5.972 5.972 5.972
angles: 90.00 90.00 90.00
Sites, in units of the cell vectors:
Li (0.000, 0.000, 0.000)
Li (0.000, 0.500, 0.500)
Li (0.500, 0.000, 0.500)
Li (0.500, 0.500, 0.000)
Th (0.250, 0.250, 0.250)
Th (0.250, 0.750, 0.750)
Th (0.750, 0.250, 0.750)
Th (0.750, 0.750, 0.250)
B (0.250, 0.250, 0.750)
B (0.250, 0.750, 0.250)
B (0.750, 0.250, 0.250)
B (0.750, 0.750, 0.750)

Values from the calculation:
- V (Å³ per cell) = 213.0
- crystal system = cubic
- magnetic moment (μB per cell) = 0.002

=====

Which of them is most stable, and which least? Most stable: version i; least stable: version ii.

=====

Version i
The following is a PBE calculation of an optimized crystal structure of LiThB4, from OQMD via LeMat-Bulk.

abc: 3.225 3.225 7.255
angles: 90.00 90.00 120.00
Sites, in units of the cell vectors:
Li (0.000, 0.000, 0.000)
Th (0.000, 0.000, 0.500)
B (0.333, 0.667, 0.216)
B (0.333, 0.667, 0.784)
B (0.667, 0.333, 0.216)
B (0.667, 0.333, 0.784)

Values from the calculation:
- V (Å³ per cell) = 65.4
- crystal system = hexagonal
- magnetic moment (μB per cell) = 0.008

=====

Version ii
The following is a PBE calculation of an optimized crystal structure of LiThB4, from OQMD via LeMat-Bulk.

abc: 3.185 5.430 8.277
angles: 90.00 90.00 90.00
Sites, in units of the cell vectors:
Li (0.000, 0.000, 0.000)
Li (0.500, 0.500, 0.500)
Th (0.000, 0.000, 0.500)
Th (0.500, 0.500, 0.000)
B (0.000, 0.323, 0.245)
B (0.000, 0.323, 0.755)
B (0.000, 0.677, 0.245)
B (0.000, 0.677, 0.755)
B (0.500, 0.177, 0.255)
B (0.500, 0.177, 0.745)
B (0.500, 0.823, 0.255)
B (0.500, 0.823, 0.745)

Values from the calculation:
- V (Å³ per cell) = 143.1
- crystal system = orthorhombic
- magnetic moment (μB per cell) = 0.001

=====

Which of them is most stable, and which least? Most stable: version ii; least stable: version i.